Record 1
# Tb2CeScSe4

An optimized crystal structure of Tb2CeScSe4 (PBE-GGA, the Alexandria database).

a = 4.0487 Å, b = 7.0948 Å, c = 7.0471 Å
α = 109.12°, β = 90.00°, γ = 90.00°
Site moments in Bohr magnetons follow the coordinates.
Element x y z (fractional)
Tb 0.5000 0.0000 0.5000  0.00
Tb 0.0000 0.5000 0.5000  0.03
Ce 0.5000 0.5000 0.0000  0.70
Sc 0.0000 0.0000 0.0000  0.04
Se 0.5000 0.2364 0.2416  0.00
Se 0.5000 0.7636 0.7584  0.00
Se 0.0000 0.2386 0.7496  -0.01
Se 0.0000 0.7614 0.2504  -0.01

Summary:
- E_tot (eV/atom) = -6.155
- total magnetic moment (μB/f.u.) = 0.95
- theoretical density (Mg/m³) = 7.11
- calculated volume (Å³/atom) = 23.91
- uncorrected formation energy (eV per atom) = -1.722



Record 2
# TbCe3Sc2Se6

An optimized crystal structure of TbCe3Sc2Se6 (PBE-GGA, the Alexandria database).

a = 7.0046 Å, b = 7.0046 Å, c = 7.1666 Å
α = 99.40°, β = 99.40°, γ = 120.05°
Site moments in Bohr magnetons follow the coordinates.
Element x y z (fractional)
Tb 0.0000 0.0000 0.0000  -0.01
Ce 0.1622 0.8378 0.5000  0.84
Ce 0.8378 0.1622 0.5000  0.84
Ce 0.5000 0.5000 0.5000  0.84
Sc 0.3325 0.6675 0.0000  -0.02
Sc 0.6675 0.3325 0.0000  -0.02
Se 0.9231 0.5796 0.7696  -0.01
Se 0.7310 0.7310 0.2254  -0.01
Se 0.0769 0.4204 0.2304  -0.01
Se 0.5796 0.9231 0.7696  -0.01
Se 0.2690 0.2690 0.7746  -0.01
Se 0.4204 0.0769 0.2304  -0.01

Summary:
- E_tot (eV/atom) = -6.399
- total magnetic moment (μB/f.u.) = 2.99
- theoretical density (Mg/m³) = 6.60
- calculated volume (Å³/atom) = 23.97
- uncorrected formation energy (eV per atom) = -1.732



Record 3
# TbCe2ScSe6

An optimized crystal structure of TbCe2ScSe6 (PBE-GGA, the Alexandria database).

a = 7.1615 Å, b = 7.1616 Å, c = 8.1757 Å
α = 64.03°, β = 64.03°, γ = 60.00°
Site moments in Bohr magnetons follow the coordinates.
Element x y z (fractional)
Tb 0.6978 0.6979 0.9064  0.02
Ce 0.5169 0.5169 0.4494  0.97
Ce 0.0096 0.0096 0.9712  0.89
Sc 0.3417 0.3417 0.9749  0.06
Se 0.7372 0.1232 0.7301  -0.01
Se 0.1232 0.4096 0.7301  -0.01
Se 0.4096 0.7372 0.7301  -0.01
Se 0.3041 0.9356 0.1744  -0.01
Se 0.9356 0.5859 0.1744  -0.01
Se 0.5859 0.3041 0.1744  -0.01

Summary:
- E_tot (eV/atom) = -6.138
- total magnetic moment (μB/f.u.) = 2.03
- theoretical density (Mg/m³) = 5.08
- calculated volume (Å³/atom) = 31.33
- uncorrected formation energy (eV per atom) = -1.764



Record 4
# TbCe2Sc3Se6

An optimized crystal structure of TbCe2Sc3Se6 (PBE-GGA, the Alexandria database).

a = 6.9216 Å, b = 6.9216 Å, c = 7.0374 Å
α = 99.43°, β = 99.43°, γ = 120.06°
Site moments in Bohr magnetons follow the coordinates.
Element x y z (fractional)
Tb 0.0000 0.0000 0.0000  0.05
Ce 0.3334 0.6666 0.0000  0.79
Ce 0.6666 0.3334 0.0000  0.79
Sc 0.1653 0.8347 0.5000  -0.01
Sc 0.8347 0.1653 0.5000  -0.01
Sc 0.5000 0.5000 0.5000  0.00
Se 0.9088 0.5797 0.7263  -0.01
Se 0.7617 0.7617 0.2722  -0.01
Se 0.0912 0.4203 0.2737  -0.01
Se 0.5797 0.9088 0.7263  -0.01
Se 0.2383 0.2383 0.7278  -0.01
Se 0.4203 0.0912 0.2737  -0.01

Summary:
- E_tot (eV/atom) = -6.393
- total magnetic moment (μB/f.u.) = 1.92
- theoretical density (Mg/m³) = 6.31
- calculated volume (Å³/atom) = 22.97
- uncorrected formation energy (eV per atom) = -1.693



Record 5
# TbCe4Sc3Se8

An optimized crystal structure of TbCe4Sc3Se8 (PBE-GGA, the Alexandria database).

a = 8.0708 Å, b = 8.2100 Å, c = 8.0715 Å
α = 119.46°, β = 120.00°, γ = 90.00°
Site moments in Bohr magnetons follow the coordinates.
Element x y z (fractional)
Tb 0.0000 0.5000 0.0000  -0.01
Ce 0.5000 0.0000 0.0000  0.76
Ce 0.5000 0.0000 0.5000  0.87
Ce 0.0000 0.0000 0.0000  0.87
Ce 0.0000 0.0000 0.5000  0.87
Sc 0.5000 0.5000 0.0000  -0.02
Sc 0.5000 0.5000 0.5000  -0.02
Sc 0.0000 0.5000 0.5000  -0.02
Se 0.2471 0.7292 0.9820  -0.01
Se 0.2470 0.7282 0.4940  -0.01
Se 0.2590 0.2765 0.5181  -0.01
Se 0.7349 0.7292 0.9820  -0.01
Se 0.2651 0.2708 0.0180  -0.01
Se 0.7410 0.7235 0.4819  -0.01
Se 0.7530 0.2718 0.5060  -0.01
Se 0.7529 0.2708 0.0180  -0.01

Summary:
- E_tot (eV/atom) = -6.425
- total magnetic moment (μB/f.u.) = 4.06
- theoretical density (Mg/m³) = 6.47
- calculated volume (Å³/atom) = 23.83
- uncorrected formation energy (eV per atom) = -1.722



Record 6
# Ce2ThScSe4

An optimized crystal structure of Ce2ThScSe4 (PBE-GGA, the Alexandria database).

a = 4.1064 Å, b = 7.2141 Å, c = 7.1146 Å
α = 109.12°, β = 90.00°, γ = 90.00°
Site moments in Bohr magnetons follow the coordinates.
Element x y z (fractional)
Ce 0.5000 0.0000 0.5000  0.60
Ce 0.0000 0.5000 0.5000  0.84
Th 0.5000 0.5000 0.0000  0.01
Sc 0.0000 0.0000 0.0000  -0.01
Se 0.5000 0.2305 0.2326  -0.01
Se 0.5000 0.7695 0.7674  -0.01
Se 0.0000 0.2374 0.7575  -0.01
Se 0.0000 0.7626 0.2425  -0.01

Summary:
- E_tot (eV/atom) = -6.617
- total magnetic moment (μB/f.u.) = 1.69
- theoretical density (Mg/m³) = 7.28
- calculated volume (Å³/atom) = 24.89
- uncorrected formation energy (eV per atom) = -1.672



Record 7
# Ce4ThSc3Se8

An optimized crystal structure of Ce4ThSc3Se8 (PBE-GGA, the Alexandria database).

a = 8.1430 Å, b = 8.2056 Å, c = 8.1432 Å
α = 119.75°, β = 120.00°, γ = 90.00°
Site moments in Bohr magnetons follow the coordinates.
Element x y z (fractional)
Ce 0.5000 0.0000 0.0000  0.53
Ce 0.5000 0.0000 0.5000  0.81
Ce 0.0000 0.0000 0.0000  0.81
Ce 0.0000 0.0000 0.5000  0.81
Th 0.0000 0.5000 0.0000  -0.01
Sc 0.5000 0.5000 0.0000  -0.02
Sc 0.5000 0.5000 0.5000  -0.02
Sc 0.0000 0.5000 0.5000  -0.02
Se 0.2513 0.7326 0.9813  -0.01
Se 0.2513 0.7325 0.5025  -0.01
Se 0.2586 0.2756 0.5171  -0.01
Se 0.7300 0.7326 0.9813  -0.01
Se 0.2700 0.2674 0.0187  -0.01
Se 0.7414 0.7244 0.4829  -0.01
Se 0.7487 0.2675 0.4975  -0.01
Se 0.7487 0.2674 0.0187  -0.01

Summary:
- E_tot (eV/atom) = -6.556
- total magnetic moment (μB/f.u.) = 3.41
- theoretical density (Mg/m³) = 6.70
- calculated volume (Å³/atom) = 24.14
- uncorrected formation energy (eV per atom) = -1.680



Record 8
# Ce2Th3ScSe6

An optimized crystal structure of Ce2Th3ScSe6 (PBE-GGA, the Alexandria database).

a = 4.1062 Å, b = 8.3904 Å, c = 9.3316 Å
α = 104.73°, β = 102.71°, γ = 90.00°
Site moments in Bohr magnetons follow the coordinates.
Element x y z (fractional)
Ce 0.8344 0.6674 0.6689  0.46
Ce 0.1656 0.3326 0.3311  0.46
Th 0.5000 0.5000 0.0000  -0.01
Th 0.8302 0.1663 0.6603  -0.01
Th 0.1698 0.8337 0.3397  -0.01
Sc 0.5000 0.0000 0.0000  0.03
Se 0.3424 0.9196 0.6848  -0.01
Se 0.6682 0.5801 0.3363  -0.01
Se 0.6576 0.0804 0.3152  -0.01
Se 0.9985 0.2300 0.9970  0.00
Se 0.0015 0.7700 0.0030  0.00
Se 0.3318 0.4199 0.6637  -0.01

Summary:
- E_tot (eV/atom) = -6.743
- total magnetic moment (μB/f.u.) = 1.03
- theoretical density (Mg/m³) = 8.20
- calculated volume (Å³/atom) = 25.23
- uncorrected formation energy (eV per atom) = -1.629



Record 9
# Ce3Th4ScSe8

An optimized crystal structure of Ce3Th4ScSe8 (PBE-GGA, the Alexandria database).

a = 8.2232 Å, b = 8.4358 Å, c = 8.2227 Å
α = 119.16°, β = 120.00°, γ = 90.00°
Site moments in Bohr magnetons follow the coordinates.
Element x y z (fractional)
Ce 0.5000 0.5000 0.0000  0.69
Ce 0.5000 0.5000 0.5000  0.69
Ce 0.0000 0.5000 0.5000  0.69
Th 0.5000 0.0000 0.0000  0.02
Th 0.5000 0.0000 0.5000  0.01
Th 0.0000 0.0000 0.0000  0.01
Th 0.0000 0.0000 0.5000  0.01
Sc 0.0000 0.5000 0.0000  0.07
Se 0.2402 0.7376 0.9978  -0.01
Se 0.2401 0.7375 0.4801  -0.01
Se 0.2514 0.2544 0.5028  -0.01
Se 0.7576 0.7376 0.9978  -0.01
Se 0.2424 0.2624 0.0022  -0.01
Se 0.7486 0.7456 0.4972  -0.01
Se 0.7599 0.2625 0.5199  -0.01
Se 0.7598 0.2624 0.0022  -0.01

Summary:
- E_tot (eV/atom) = -6.747
- total magnetic moment (μB/f.u.) = 2.59
- theoretical density (Mg/m³) = 8.24
- calculated volume (Å³/atom) = 25.52
- uncorrected formation energy (eV per atom) = -1.642



Record 10
# Ce4Th3ScSe8

An optimized crystal structure of Ce4Th3ScSe8 (PBE-GGA, the Alexandria database).

a = 8.3439 Å, b = 8.3249 Å, c = 8.3425 Å
α = 120.07°, β = 120.01°, γ = 90.00°
Site moments in Bohr magnetons follow the coordinates.
Element x y z (fractional)
Ce 0.5000 0.0000 0.0000  0.86
Ce 0.5000 0.0000 0.5000  0.69
Ce 0.0000 0.0000 0.0000  0.69
Ce 0.0000 0.0000 0.5000  0.69
Th 0.5000 0.5000 0.0000  0.01
Th 0.5000 0.5000 0.5000  0.01
Th 0.0000 0.5000 0.5000  0.01
Sc 0.0000 0.5000 0.0000  0.00
Se 0.2404 0.7423 0.0019  -0.01
Se 0.2404 0.7423 0.4808  -0.01
Se 0.2489 0.2466 0.4977  -0.01
Se 0.7615 0.7423 0.0019  -0.01
Se 0.2385 0.2577 0.9981  -0.01
Se 0.7511 0.7534 0.5023  -0.01
Se 0.7596 0.2577 0.5192  -0.01
Se 0.7596 0.2577 0.9981  -0.01

Summary:
- E_tot (eV/atom) = -6.689
- total magnetic moment (μB/f.u.) = 3.51
- theoretical density (Mg/m³) = 7.84
- calculated volume (Å³/atom) = 25.58
- uncorrected formation energy (eV per atom) = -1.677



Question: Among the records above, which one has the highest calculated volume?
Answer: TbCe2ScSe6